Material: LiNdYZn
Method: DFT, PBE
State: relaxed

Cell lengths 5.1985, 5.1985, 5.1985 Å; angles 60.00, 60.00, 60.00 degrees
Fractional coordinates of all 4 atoms:
Y (0.7500, 0.7500, 0.7500)
Zn (0.5000, 0.5000, 0.5000)
Nd (0.2500, 0.2500, 0.2500)
Li (0.0000, 0.0000, 0.0000)

Calculated values
Its symmetry is No. 216. The magnetic moment is 0.00 μB/f.u. The value obtained for the formation energy is -121 meV/atom. The density of states at the Fermi level is 5.53 states/eV/f.u.

---

Material: SrCd2
Method: DFT, PBE
State: relaxed

Cell lengths 6.2277, 6.2277, 6.2277 Å; angles 60.00, 60.00, 60.00 degrees
Fractional coordinates of all 6 atoms:
Sr (0.0000, 0.0000, 0.0000)
Sr (0.2500, 0.2500, 0.2500)
Cd (0.1250, 0.6250, 0.6250)
Cd (0.6250, 0.1250, 0.6250)
Cd (0.6250, 0.6250, 0.6250)
Cd (0.6250, 0.6250, 0.1250)

Calculated values
Its symmetry is No. 227. The magnetic moment is 0.00 μB/f.u. The value obtained for the formation energy is -300 meV/atom. The density of states at the Fermi level is 2.28 states/eV/f.u.

---

Material: BaNpBeO6
Method: DFT, PBE
State: relaxed

Cell lengths 5.1300, 5.1300, 11.8224 Å; angles 90.00, 90.00, 120.00 degrees
Last column: magnetic moment on the atom in μB.
Fractional coordinates of all 18 atoms:
Ba (0.0000, 0.0000, 0.0000)  0.01
Ba (0.0000, 0.0000, 0.5000)  0.01
Np (0.3333, 0.6667, 0.2500)  0.06
Np (0.6667, 0.3333, 0.7500)  0.06
Be (0.6667, 0.3333, 0.2500)  -0.01
Be (0.3333, 0.6667, 0.7500)  -0.01
O (0.6264, 0.6093, 0.1569)  0.13
O (0.9829, 0.3736, 0.1569)  0.13
O (0.3736, 0.9829, 0.6569)  0.13
O (0.0171, 0.6264, 0.8431)  0.13
O (0.3907, 0.3736, 0.3431)  0.13
O (0.9829, 0.6093, 0.3431)  0.13
O (0.6093, 0.9829, 0.8431)  0.13
O (0.6264, 0.0171, 0.3431)  0.13
O (0.0171, 0.3907, 0.6569)  0.13
O (0.3907, 0.0171, 0.1569)  0.13
O (0.6093, 0.6264, 0.6569)  0.13
O (0.3736, 0.3907, 0.8431)  0.13

Calculated values
As for the formation energy from raw total energies: -2.315 eV/atom. Its symmetry is No. 163. The magnetic moment is 0.99 μB/f.u. The density of states at the Fermi level is 7.93 states/eV/f.u.

---

Material: Ca4Rh6Pb19
Method: DFT, PBE
State: relaxed

Cell lengths 10.2938, 10.2938, 10.2938 Å; angles 109.47, 109.47, 109.47 degrees
Fractional coordinates of all 29 atoms:
Ca (0.6640, 0.6640, 0.6640)
Ca (0.0000, 0.0000, 0.3360)
Ca (0.3360, 0.0000, 0.0000)
Ca (0.0000, 0.3360, 0.0000)
Rh (0.8810, 0.5000, 0.3810)
Rh (0.1190, 0.5000, 0.6190)
Rh (0.5000, 0.3810, 0.8810)
Rh (0.5000, 0.6190, 0.1190)
Rh (0.3810, 0.8810, 0.5000)
Rh (0.6190, 0.1190, 0.5000)
Pb (0.6958, 0.0000, 0.6958)
Pb (0.3042, 0.0000, 0.3042)
Pb (0.0000, 0.6958, 0.6958)
Pb (0.0000, 0.3042, 0.3042)
Pb (0.6958, 0.6958, 0.0000)
Pb (0.3042, 0.3042, 0.0000)
Pb (0.0000, 0.0000, 0.0000)
Pb (0.6111, 0.3354, 0.3869)
Pb (0.9485, 0.2241, 0.6131)
Pb (0.3889, 0.7759, 0.7244)
Pb (0.3354, 0.3869, 0.6111)
Pb (0.0515, 0.6646, 0.2756)
Pb (0.2241, 0.6131, 0.9485)
Pb (0.7759, 0.7244, 0.3889)
Pb (0.6646, 0.2756, 0.0515)
Pb (0.3869, 0.6111, 0.3354)
Pb (0.7244, 0.3889, 0.7759)
Pb (0.2756, 0.0515, 0.6646)
Pb (0.6131, 0.9485, 0.2241)

Calculated values
Its symmetry is No. 197. The magnetic moment is 0.00 μB/f.u. The value obtained for the formation energy is -16 meV/atom. The density of states at the Fermi level is 22.64 states/eV/f.u.

---

Material: Y2HoHf
Method: DFT, PBE
State: relaxed

Cell lengths 3.4504, 3.4504, 11.3583 Å; angles 81.26, 81.26, 60.00 degrees
Fractional coordinates of all 4 atoms:
Y (0.0784, 0.0784, 0.7647)
Y (0.2549, 0.2549, 0.2352)
Ho (0.5002, 0.5002, 0.4994)
Hf (0.6664, 0.6664, 0.0006)

Calculated values
Its symmetry is No. 160. The magnetic moment is 0.00 μB/f.u. The value obtained for the formation energy is 120 meV/atom. The density of states at the Fermi level is 6.37 states/eV/f.u.

---

Material: SrTl2Br
Method: DFT, PBE
State: relaxed

Cell lengths 6.8809, 4.4788, 4.4788 Å; angles 90.00, 90.00, 90.00 degrees
Fractional coordinates of all 4 atoms:
Sr (0.5000, 0.0000, 0.5000)
Tl (0.0000, 0.0000, 0.0000)
Tl (0.0000, 0.5000, 0.5000)
Br (0.5000, 0.5000, 0.0000)

Calculated values
As for the formation energy from raw total energies: -0.646 eV/atom. Its symmetry is No. 123. The magnetic moment is 0.00 μB/f.u. The density of states at the Fermi level is 4.31 states/eV/f.u.

---

Material: Sm5Dy2Y12
Method: DFT, PBE
State: relaxed

Cell lengths 9.3712, 9.0971, 8.6796 Å; angles 91.77, 90.00, 121.00 degrees
Fractional coordinates of all 19 atoms:
Sm (0.2300, 0.4600, 0.5715)
Sm (0.2947, 0.5894, 0.9801)
Sm (0.0000, 0.0000, 0.5000)
Sm (0.7053, 0.4106, 0.0199)
Sm (0.7700, 0.5400, 0.4285)
Dy (0.6724, 0.0000, 0.0000)
Dy (0.3276, 0.0000, 0.0000)
Y (0.9256, 0.8511, 0.1261)
Y (0.0305, 0.7030, 0.7623)
Y (0.6725, 0.7030, 0.7623)
Y (0.1804, 0.7417, 0.3332)
Y (0.5613, 0.7417, 0.3332)
Y (0.4427, 0.8854, 0.6667)
Y (0.5573, 0.1146, 0.3333)
Y (0.8196, 0.2583, 0.6668)
Y (0.4387, 0.2583, 0.6668)
Y (0.9695, 0.2970, 0.2377)
Y (0.3275, 0.2970, 0.2377)
Y (0.0744, 0.1489, 0.8739)

Calculated values
Its symmetry is No. 12. The magnetic moment is 0.00 μB/f.u. The value obtained for the formation energy is 118 meV/atom. The density of states at the Fermi level is 26.24 states/eV/f.u.

---

Material: Na3MnBi3Te8
Method: DFT, PBE
State: relaxed

Cell lengths 8.8070, 8.8065, 9.2730 Å; angles 118.35, 90.00, 120.02 degrees
Last column: magnetic moment on the atom in μB.
Fractional coordinates of all 15 atoms:
Na (0.0000, 0.0000, 0.0000)  0.00
Na (0.0000, 0.5000, 0.0000)  0.00
Na (0.5000, 0.5000, 0.0000)  0.00
Mn (0.0000, 0.0000, 0.5000)  3.20
Bi (0.5000, 0.0000, 0.5000)  0.02
Bi (0.5000, 0.5000, 0.5000)  0.02
Bi (0.0000, 0.5000, 0.5000)  0.02
Te (0.2535, 0.5071, 0.2607)  0.00
Te (0.7465, 0.4929, 0.7393)  0.00
Te (0.7847, 0.5694, 0.2908)  -0.05
Te (0.2153, 0.4306, 0.7092)  -0.05
Te (0.7846, 0.0060, 0.2907)  -0.05
Te (0.2154, 0.9940, 0.7093)  -0.05
Te (0.2214, 0.0060, 0.2907)  -0.05
Te (0.7786, 0.9940, 0.7093)  -0.05

Calculated values
As for the formation energy from raw total energies: -0.430 eV/atom. Its symmetry is No. 166. The magnetic moment is 2.96 μB/f.u. The density of states at the Fermi level is 1.99 states/eV/f.u.